Record 1
This record from OQMD describes crystalline YFeSnOs at its relaxed geometry. The functional is PBE.

Cell: 4.646 4.646 4.646 Å, 60.00 60.00 60.00°
Element x y z (fractional)
Y 0.000 0.000 0.000
Fe 0.750 0.750 0.750
Sn 0.500 0.500 0.500
Os 0.250 0.250 0.250

Output
* density: 10.63 g/cm3
* space-group type: No. 216
* spin magnetization: 1.34 Bohr magnetons per cell
* crystal system: cubic
* E_tot: -7.417 eV per atom

Record 2
This record from OQMD describes crystalline ErTcNO at its relaxed geometry. The functional is PBE.

Cell: 3.519 6.178 5.126 Å, 90.00 90.00 90.00°
Element x y z (fractional)
Er 0.000 0.225 0.000
Er 0.000 0.775 0.500
Tc 0.500 0.260 0.516
Tc 0.500 0.740 0.016
N 0.000 0.141 0.487
N 0.000 0.859 0.987
O 0.500 0.421 0.885
O 0.500 0.579 0.385

Output
* density: 8.80 g/cm3
* space-group type: No. 26
* spin magnetization: 0.01 Bohr magnetons per cell
* crystal system: orthorhombic
* E_tot: -8.246 eV per atom

Record 3
This record from OQMD describes crystalline TlNiSn2 at its relaxed geometry. The functional is PBE.

Cell: 5.083 5.083 5.083 Å, 60.00 60.00 60.00°
Element x y z (fractional)
Tl 0.000 0.000 0.000
Ni 0.750 0.750 0.750
Sn 0.250 0.250 0.250
Sn 0.500 0.500 0.500

Output
* density: 8.95 g/cm3
* space-group type: No. 216
* spin magnetization: 0.12 Bohr magnetons per cell
* crystal system: cubic
* E_tot: -3.633 eV per atom

Record 4
This record from OQMD describes crystalline NaNbTe2AuSe at its relaxed geometry. The functional is PBE.

Cell: 7.680 7.680 10.383 Å, 90.00 90.00 150.93°
Element x y z (fractional)
Na 0.240 0.760 0.750
Na 0.760 0.240 0.250
Nb 0.000 0.000 0.000
Nb 0.000 0.000 0.500
Te 0.358 0.642 0.029
Te 0.358 0.642 0.471
Te 0.642 0.358 0.529
Te 0.642 0.358 0.971
Au 0.453 0.547 0.250
Au 0.547 0.453 0.750
Se 0.075 0.925 0.250
Se 0.925 0.075 0.750

Output
* density: 7.22 g/cm3
* space-group type: No. 63
* spin magnetization: 1.78 Bohr magnetons per cell
* crystal system: orthorhombic
* E_tot: -4.452 eV per atom

Record 5
This record from OQMD describes crystalline KReAgO3 at its relaxed geometry. The functional is PBE.

Cell: 11.644 3.127 10.641 Å, 90.00 90.00 90.00°
Element x y z (fractional)
K 0.248 0.250 0.102
K 0.252 0.750 0.602
K 0.748 0.250 0.398
K 0.752 0.750 0.898
Re 0.050 0.750 0.372
Re 0.450 0.250 0.872
Re 0.550 0.750 0.128
Re 0.950 0.250 0.628
Ag 0.038 0.750 0.906
Ag 0.462 0.250 0.406
Ag 0.538 0.750 0.594
Ag 0.962 0.250 0.094
O 0.041 0.750 0.694
O 0.087 0.250 0.488
O 0.182 0.750 0.290
O 0.318 0.250 0.790
O 0.413 0.750 0.988
O 0.459 0.250 0.194
O 0.541 0.750 0.806
O 0.587 0.250 0.012
O 0.682 0.750 0.210
O 0.818 0.250 0.710
O 0.913 0.750 0.512
O 0.959 0.250 0.306

Output
* density: 6.54 g/cm3
* space-group type: No. 62
* spin magnetization: 0.42 Bohr magnetons per cell
* crystal system: orthorhombic
* E_tot: -6.315 eV per atom

Record 6
This record from OQMD describes crystalline ReN2 at its relaxed geometry. The functional is PBE.

Cell: 4.376 4.376 2.645 Å, 90.00 90.00 90.00°
Element x y z (fractional)
Re 0.000 0.000 0.000
Re 0.500 0.500 0.000
N 0.115 0.385 0.500
N 0.385 0.885 0.500
N 0.615 0.115 0.500
N 0.885 0.615 0.500

Output
* density: 14.05 g/cm3
* space-group type: No. 127
* spin magnetization: 0.00 Bohr magnetons per cell
* crystal system: tetragonal
* E_tot: -9.036 eV per atom

Record 7
This record from OQMD describes crystalline Sm3Mg3ZnAu2 at its relaxed geometry. The functional is PBE.

Cell: 7.762 7.762 4.117 Å, 90.00 90.00 120.00°
Element x y z (fractional)
Sm 0.000 0.411 0.000
Sm 0.411 0.000 0.000
Sm 0.589 0.589 0.000
Mg 0.000 0.755 0.500
Mg 0.245 0.245 0.500
Mg 0.755 0.000 0.500
Zn 0.000 0.000 0.000
Au 0.333 0.667 0.500
Au 0.667 0.333 0.500

Output
* density: 7.60 g/cm3
* space-group type: No. 189
* spin magnetization: 0.01 Bohr magnetons per cell
* crystal system: hexagonal
* E_tot: -3.489 eV per atom

Record 8
This record from OQMD describes crystalline PrBeNb at its relaxed geometry. The functional is PBE.

Cell: 4.509 4.509 4.509 Å, 60.00 60.00 60.00°
Element x y z (fractional)
Pr 0.000 0.000 0.000
Be 0.750 0.750 0.750
Nb 0.500 0.500 0.500

Output
* density: 6.22 g/cm3
* space-group type: No. 216
* spin magnetization: 0.00 Bohr magnetons per cell
* crystal system: cubic
* E_tot: -5.514 eV per atom

Record 9
This record from OQMD describes crystalline ReN2 at its relaxed geometry. The functional is PBE.

Cell: 2.858 2.858 9.715 Å, 90.00 90.00 120.00°
Element x y z (fractional)
Re 0.333 0.667 0.250
Re 0.667 0.333 0.750
N 0.333 0.667 0.628
N 0.333 0.667 0.872
N 0.667 0.333 0.128
N 0.667 0.333 0.372

Output
* density: 10.35 g/cm3
* space-group type: No. 194
* spin magnetization: 0.61 Bohr magnetons per cell
* crystal system: hexagonal
* E_tot: -9.137 eV per atom

Record 10
This record from OQMD describes crystalline TbFe2Os2 at its relaxed geometry. The functional is PBE.

Cell: 5.814 5.814 5.814 Å, 138.78 138.78 59.71°
Element x y z (fractional)
Tb 0.000 0.000 0.000
Fe 0.250 0.750 0.500
Fe 0.750 0.250 0.500
Os 0.380 0.380 0.000
Os 0.620 0.620 0.000

Output
* density: 12.80 g/cm3
* space-group type: No. 139
* spin magnetization: 3.90 Bohr magnetons per cell
* formation enthalpy at 0 K: 0.034 eV per atom
* crystal system: tetragonal

Record 11
This record from OQMD describes crystalline RbScNiS3 at its relaxed geometry. The functional is PBE.

Cell: 7.983 7.983 8.462 Å, 100.18 100.18 28.25°
Element x y z (fractional)
Rb 0.155 0.155 0.062
Rb 0.845 0.845 0.938
Sc 0.164 0.164 0.572
Sc 0.836 0.836 0.428
Ni 0.494 0.494 0.705
Ni 0.506 0.506 0.295
S 0.000 0.000 0.500
S 0.336 0.336 0.636
S 0.360 0.360 0.242
S 0.500 0.500 0.000
S 0.640 0.640 0.758
S 0.664 0.664 0.364

Output
* density: 3.77 g/cm3
* space-group type: No. 12
* spin magnetization: 0.54 Bohr magnetons per cell
* crystal system: monoclinic
* E_tot: -5.252 eV per atom

Record 12
This record from OQMD describes crystalline RbCuSiTe2Se at its relaxed geometry. The functional is PBE.

Cell: 8.315 8.315 10.818 Å, 90.00 90.00 153.37°
Element x y z (fractional)
Rb 0.233 0.767 0.750
Rb 0.767 0.233 0.250
Cu 0.046 0.954 0.250
Cu 0.954 0.046 0.750
Si 0.500 0.500 0.000
Si 0.500 0.500 0.500
Te 0.119 0.881 0.038
Te 0.119 0.881 0.462
Te 0.881 0.119 0.538
Te 0.881 0.119 0.962
Se 0.455 0.545 0.250
Se 0.545 0.455 0.750

Output
* density: 5.06 g/cm3
* space-group type: No. 63
* crystal system: orthorhombic
* E_tot: -3.581 eV per atom

Q: What is the density in the second record?
A: 8.80 g/cm3